[1]
# CuPCl2

CuPCl2 after structural relaxation (PBE, Alexandria).

Computed properties:
* SG: No. 71
* formation energy (no corrections): 0.3380 eV/atom
* excess energy over the best structure of this formula in the dataset: 684 meV/atom

Geometry as extended XYZ:
```
4
Lattice="-1.570 3.430 3.950 1.570 -3.430 3.950 1.570 3.430 -3.950" Properties=species:S:1:pos:R:3 pbc="T T T"
Cu 0.000 0.000 0.000
P 0.000 0.000 3.950
Cl 1.570 0.000 1.722
Cl 0.000 3.430 2.228
```

***

[2]
# Cs3Nd3NpS8

Cs3Nd3NpS8 after structural relaxation (PBE, Alexandria).

Computed properties:
* SG: No. 166
* formation energy (no corrections): -1.7178 eV/atom

Geometry as extended XYZ:
```
15
Lattice="4.186 2.417 8.219 -4.186 2.417 8.219 0.000 -4.834 8.219" Properties=species:S:1:pos:R:3 pbc="T T T"
Cs -2.093 -1.208 8.219
Cs -2.093 1.208 16.438
Cs 0.000 2.417 8.219
Nd -4.186 0.000 12.329
Nd -2.093 1.208 4.110
Nd 2.093 1.208 4.110
Np 0.000 0.000 12.329
S 0.000 0.000 5.631
S -1.998 -1.154 13.788
S 0.000 -2.307 10.869
S -1.998 1.154 10.869
S 1.998 -1.154 13.788
S 0.000 2.307 13.788
S 1.998 1.154 10.869
S 0.000 0.000 19.026
```

***

[3]
# Pm2Nd3Sc

Pm2Nd3Sc after structural relaxation (PBE, Alexandria).

Computed properties:
* energy of formation: 37 meV per atom
* SG: No. 2
* excess energy over the best structure of this formula in the dataset: 0 meV/atom

Geometry as extended XYZ:
```
12
Lattice="6.228 0.000 0.000 -2.058 7.783 0.000 -0.019 -3.340 8.170" Properties=species:S:1:pos:R:3 pbc="T T T"
Pm -0.484 1.991 2.428
Pm 0.561 4.702 0.324
Pm 3.590 -0.259 7.846
Pm 4.634 2.452 5.742
Nd 0.509 -1.933 7.131
Nd -0.517 5.283 3.740
Nd 2.583 0.349 1.764
Nd 1.568 4.095 6.406
Nd 4.667 -0.840 4.431
Nd 3.641 6.377 1.039
Sc 1.558 0.857 5.083
Sc 2.593 3.586 3.087
```

***

[4]
# BaOsSe2

BaOsSe2 after structural relaxation (PBE, Alexandria).

Computed properties:
* SG: No. 216
* formation energy (no corrections): 0.7534 eV/atom
* excess energy over the best structure of this formula in the dataset: 1387 meV/atom

Geometry as extended XYZ:
```
4
Lattice="0.000 3.625 3.625 3.625 0.000 3.625 3.625 3.625 0.000" Properties=species:S:1:pos:R:3 pbc="T T T"
Ba 0.000 0.000 0.000
Os 1.813 1.813 1.813
Se 3.625 3.625 3.625
Se 5.438 5.438 5.438
```

***

[5]
# BPtW2I

BPtW2I after structural relaxation (PBE, Alexandria).

Computed properties:
* SG: No. 123
* formation energy (no corrections): 2.8970 eV/atom

Geometry as extended XYZ:
```
5
Lattice="4.941 0.000 0.000 0.000 4.941 0.000 0.000 0.000 4.151" Properties=species:S:1:pos:R:3 pbc="T T T"
B 0.000 0.000 0.000
Pt 2.470 2.470 0.000
W 0.000 2.470 2.075
W 2.470 0.000 2.075
I 0.000 0.000 2.075
```

***

[6]
# Ni2WBr

Ni2WBr after structural relaxation (PBE, Alexandria).

Computed properties:
* SG: No. 216
* formation energy (no corrections): 0.8130 eV/atom
* excess energy over the best structure of this formula in the dataset: 460 meV/atom

Geometry as extended XYZ:
```
4
Lattice="0.000 3.033 3.033 3.033 0.000 3.033 3.033 3.033 0.000" Properties=species:S:1:pos:R:3 pbc="T T T"
Ni 0.000 0.000 0.000
Ni 1.516 1.516 1.516
W 4.549 4.549 4.549
Br 3.033 3.033 3.033
```

***

[7]
# KScFeCo2

KScFeCo2 after structural relaxation (PBE, Alexandria).

Computed properties:
* energy of formation: 781 meV per atom
* SG: No. 123

Geometry as extended XYZ:
```
5
Lattice="4.604 0.000 0.000 0.000 4.604 0.000 0.000 0.000 4.681" Properties=species:S:1:pos:R:3 pbc="T T T"
K 0.000 0.000 0.000
Sc 2.302 2.302 0.000
Fe 2.302 2.302 2.340
Co 0.000 2.302 2.340
Co 2.302 0.000 2.340
```

***

[8]
# KHf

KHf after structural relaxation (PBE, Alexandria).

Computed properties:
* energy of formation: 992 meV per atom
* SG: No. 186
* excess energy over the best structure of this formula in the dataset: 481 meV/atom

Geometry as extended XYZ:
```
4
Lattice="3.170 0.000 0.000 -1.585 2.745 0.000 0.000 0.000 13.806" Properties=species:S:1:pos:R:3 pbc="T T T"
K 0.000 1.830 0.000
K 1.585 0.915 6.903
Hf 0.000 1.830 3.473
Hf 1.585 0.915 10.376
```

***

no.,density of states at the Fermi level (states/eV/f.u.),total energy (eV/f.u.)
1,2.02,-11.8
2,4.23,-88.6
3,8.73,-29.9
4,6.65,-17.1
5,7.02,-25.7
6,2.88,-22.9
7,6.95,-26.2
8,3.48,-9.1